(1)
DFT (PBE-GGA) results for an optimized crystal structure of KNCl3.

Cell lengths 4.632, 4.632, 4.632 Å; angles 90.00, 90.00, 90.00 degrees
Space group Pm-3m (No. 221)
Symmetry-distinct sites (fractional):
K (0.000, 0.000, 0.000) x1
N (0.500, 0.500, 0.500) x1
Cl (0.000, 0.500, 0.500) x3

## Properties
relative energy among the computed polymorphs = 0.2456 eV per atom
spin magnetization = 0.00 μB per cell

(2)
DFT (PBE-GGA) results for an optimized crystal structure of LaZrCl.

Cell lengths 5.304, 9.067, 13.523 Å; angles 90.00, 90.00, 90.00 degrees
Space group Fmm2 (No. 42)
Symmetry-distinct sites (fractional):
La (0.000, 0.000, 0.000) x4
La (0.000, 0.000, 0.278) x4
Zr (0.000, 0.163, 0.668) x8
Cl (0.000, 0.166, 0.476) x8

## Properties
relative energy among the computed polymorphs = 0.1802 eV per atom
spin magnetization = 0.00 μB per cell